A relaxed structure of TbNd2Tm, computed with PBE.

Cell: 3.6186 3.6186 35.0328 Å, 90.00 90.00 120.00°
Fractional positions:
Tb 0.0000 0.0000 0.0000
Tb 0.3333 0.6667 0.6667
Tb 0.6667 0.3333 0.3333
Nd 0.0000 0.0000 0.5831
Nd 0.0000 0.0000 0.7507
Nd 0.3333 0.6667 0.2498
Nd 0.3333 0.6667 0.4174
Nd 0.6667 0.3333 0.0841
Nd 0.6667 0.3333 0.9164
Tm 0.0000 0.0000 0.1675
Tm 0.3333 0.6667 0.8341
Tm 0.6667 0.3333 0.5008

Values from the calculation:
**Energy above the lowest structure with this stoichiometry**: 0.14 kcal/mol of atoms
**Uncorrected energy**: -4.639 eV per atom
**ΔE_f**: 0.02 eV per atom
**Magnetic moment**: 0.0 μB per formula unit